Entry 1
# AgHSN2

A geometry-optimized AgHSN2 structure (PBE, Alexandria via LeMat-Bulk).

POSCAR file:
```
AgHSN2
1.0
4.1016 0.0000 0.0000
0.0000 4.1016 0.0000
0.0000 0.0000 3.1066
Ag H S N
1 1 1 2
direct
0.0000 0.0000 0.0000
0.5000 0.5000 0.5000
0.5000 0.5000 0.0000
0.0000 0.5000 0.5000
0.5000 0.0000 0.5000
```

Computed properties:
Total moment, μB per formula unit: 1.62

Entry 2
# AgHSN2

A geometry-optimized AgHSN2 structure (PBE, Alexandria via LeMat-Bulk).

POSCAR file:
```
AgHSN2
1.0
4.1029 0.0000 0.0000
0.0000 4.1029 0.0000
0.0000 0.0000 5.3082
Ag H S N
1 1 1 2
direct
0.0000 0.0000 0.0000
0.5000 0.5000 0.5000
0.0000 0.0000 0.5000
0.0000 0.5000 0.0000
0.5000 0.0000 0.0000
```

Computed properties:
Total moment, μB per formula unit: 4.07

Relative calculated energies, zero for the most stable structure, unit kJ/mol of atoms: entry 1 0.0; entry 2 33.4.

Entry 1
# AgHSe2N

A geometry-optimized AgHSe2N structure (PBE, Alexandria via LeMat-Bulk).

POSCAR file:
```
AgHSe2N
1.0
5.2887 0.0000 0.0000
0.0000 5.2887 0.0000
0.0000 0.0000 4.0572
Ag H Se N
1 1 2 1
direct
0.0000 0.0000 0.0000
0.5000 0.5000 0.5000
0.0000 0.5000 0.0000
0.5000 0.0000 0.0000
0.0000 0.0000 0.5000
```

Computed properties:
Total moment, μB per formula unit: 0.82

Entry 2
# AgHSe2N

A geometry-optimized AgHSe2N structure (PBE, Alexandria via LeMat-Bulk).

POSCAR file:
```
AgHSe2N
1.0
5.2328 0.0000 0.0000
0.0000 5.2328 0.0000
0.0000 0.0000 2.6905
Ag H Se N
1 1 2 1
direct
0.0000 0.0000 0.0000
0.5000 0.5000 0.5000
0.0000 0.5000 0.5000
0.5000 0.0000 0.5000
0.5000 0.5000 0.0000
```

Computed properties:
Total moment, μB per formula unit: 0.62

Relative calculated energies, zero for the most stable structure, unit kJ/mol of atoms: entry 1 73.5; entry 2 0.0.

Entry 1
# AgHSeN2

A geometry-optimized AgHSeN2 structure (PBE, Alexandria via LeMat-Bulk).

POSCAR file:
```
AgHSeN2
1.0
4.0410 0.0000 0.0000
0.0000 4.0410 0.0000
0.0000 0.0000 3.3682
Ag H Se N
1 1 1 2
direct
0.0000 0.0000 0.0000
0.5000 0.5000 0.5000
0.5000 0.5000 0.0000
0.0000 0.5000 0.5000
0.5000 0.0000 0.5000
```

Computed properties:
Total moment, μB per formula unit: 0.19

Entry 2
# AgHSeN2

A geometry-optimized AgHSeN2 structure (PBE, Alexandria via LeMat-Bulk).

POSCAR file:
```
AgHSeN2
1.0
4.0451 0.0000 0.0000
0.0000 4.0451 0.0000
0.0000 0.0000 5.7007
Ag H Se N
1 1 1 2
direct
0.0000 0.0000 0.0000
0.5000 0.5000 0.5000
0.0000 0.0000 0.5000
0.0000 0.5000 0.0000
0.5000 0.0000 0.0000
```

Computed properties:
Total moment, μB per formula unit: 4.41

Relative calculated energies, zero for the most stable structure, unit kJ/mol of atoms: entry 1 0.0; entry 2 26.0.

Entry 1
# AgTe2HN

A geometry-optimized AgTe2HN structure (PBE, Alexandria via LeMat-Bulk).

POSCAR file:
```
AgTe2HN
1.0
5.4070 0.0000 0.0000
0.0000 5.4070 0.0000
0.0000 0.0000 2.9177
Ag Te H N
1 2 1 1
direct
0.0000 0.0000 0.0000
0.0000 0.5000 0.5000
0.5000 0.0000 0.5000
0.5000 0.5000 0.5000
0.5000 0.5000 0.0000
```

Computed properties:
Total moment, μB per formula unit: 0.00

Entry 2
# AgTe2HN

A geometry-optimized AgTe2HN structure (PBE, Alexandria via LeMat-Bulk).

POSCAR file:
```
AgTe2HN
1.0
5.6577 0.0000 0.0000
0.0000 5.6577 0.0000
0.0000 0.0000 3.9170
Ag Te H N
1 2 1 1
direct
0.0000 0.0000 0.0000
0.0000 0.5000 0.0000
0.5000 0.0000 0.0000
0.5000 0.5000 0.5000
0.0000 0.0000 0.5000
```

Computed properties:
Total moment, μB per formula unit: 1.92

Relative calculated energies, zero for the most stable structure, unit kJ/mol of atoms: entry 1 0.0; entry 2 59.6.

Entry 1
# Na3AgH

A geometry-optimized Na3AgH structure (PBE, Alexandria via LeMat-Bulk).

POSCAR file:
```
Na3AgH
1.0
4.7370 0.0000 0.0000
0.0000 4.7370 0.0000
0.0000 0.0000 4.7370
Na Ag H
3 1 1
direct
0.0000 0.0000 0.5000
0.0000 0.5000 0.0000
0.5000 0.0000 0.0000
0.5000 0.5000 0.5000
0.0000 0.0000 0.0000
```

Computed properties:
Total moment, μB per formula unit: 0.00

Entry 2
# Na3AgH

A geometry-optimized Na3AgH structure (PBE, Alexandria via LeMat-Bulk).

POSCAR file:
```
Na3AgH
1.0
5.6277 0.0000 0.0000
0.0000 5.6277 0.0000
0.0000 0.0000 5.6277
Na Ag H
3 1 1
direct
0.0000 0.0000 0.5000
0.0000 0.5000 0.0000
0.5000 0.0000 0.0000
0.0000 0.0000 0.0000
0.5000 0.5000 0.5000
```

Computed properties:
Total moment, μB per formula unit: 0.00

Relative calculated energies, zero for the most stable structure, unit kJ/mol of atoms: entry 1 0.0; entry 2 44.2.

Entry 1
# NaAgH

A geometry-optimized NaAgH structure (PBE, Alexandria via LeMat-Bulk).

POSCAR file:
```
NaAgH
1.0
5.7772 -1.4280 0.0000
5.7772 1.4280 0.0000
-0.7603 0.0000 5.9295
Na Ag H
2 2 2
direct
0.0963 0.0963 0.3127
0.9037 0.9037 0.6873
0.1727 0.1727 0.8339
0.8273 0.8273 0.1661
0.4087 0.4087 0.3280
0.5913 0.5913 0.6720
```

Computed properties:
Total moment, μB per formula unit: 0.00

Entry 2
# NaAgH

A geometry-optimized NaAgH structure (PBE, Alexandria via LeMat-Bulk).

POSCAR file:
```
NaAgH
1.0
-1.4999 1.4999 5.6332
1.4999 -1.4999 5.6332
1.4999 1.4999 -5.6332
Na Ag H
1 1 1
direct
0.0000 0.0000 0.0000
0.7283 0.7283 0.0000
0.5606 0.5606 0.0000
```

Computed properties:
Total moment, μB per formula unit: 0.00

Relative calculated energies, zero for the most stable structure, unit kJ/mol of atoms: entry 1 0.0; entry 2 9.1.